Density functional theory data (PBE) for a relaxed HfAl2Tc crystal.

Unit cell a=6.3745 b=6.3745 c=6.3745 alpha=90.00 beta=90.00 gamma=90.00
Atoms (fractional coordinates):
Hf: 0.0000 0.0000 0.0000
Hf: 0.0000 0.5000 0.5000
Hf: 0.5000 0.0000 0.5000
Hf: 0.5000 0.5000 0.0000
Al: 0.0000 0.0000 0.5000
Al: 0.0000 0.5000 0.0000
Al: 0.2500 0.2500 0.7500
Al: 0.2500 0.7500 0.2500
Al: 0.5000 0.0000 0.0000
Al: 0.5000 0.5000 0.5000
Al: 0.7500 0.2500 0.2500
Al: 0.7500 0.7500 0.7500
Tc: 0.2500 0.2500 0.2500
Tc: 0.2500 0.7500 0.7500
Tc: 0.7500 0.2500 0.7500
Tc: 0.7500 0.7500 0.2500

Total magnetic moment in μB per formula unit: 0.00
Symmetry: F-43m
Final energy in eV/atom: -7.264
Mass density in g cm⁻³: 8.47

---

Density functional theory data (PBE) for a relaxed Hf3AlTc2 crystal.

Unit cell a=3.3254 b=3.3254 c=9.7032 alpha=90.00 beta=90.00 gamma=90.00
Atoms (fractional coordinates):
Hf: 0.0000 0.0000 0.0000
Hf: 0.0000 0.0000 0.3232
Hf: 0.0000 0.0000 0.6768
Al: 0.5000 0.5000 0.5000
Tc: 0.5000 0.5000 0.1716
Tc: 0.5000 0.5000 0.8284

Total magnetic moment in μB per formula unit: 0.01
Symmetry: P4/mmm
Final energy in eV/atom: -9.574
Mass density in g cm⁻³: 11.74

---

Density functional theory data (PBE) for a relaxed HfAl2Te crystal.

Unit cell a=6.9513 b=6.9513 c=6.9513 alpha=90.00 beta=90.00 gamma=90.00
Atoms (fractional coordinates):
Hf: 0.0000 0.0000 0.0000
Hf: 0.0000 0.5000 0.5000
Hf: 0.5000 0.0000 0.5000
Hf: 0.5000 0.5000 0.0000
Al: 0.0000 0.0000 0.5000
Al: 0.0000 0.5000 0.0000
Al: 0.2500 0.2500 0.2500
Al: 0.2500 0.7500 0.7500
Al: 0.5000 0.0000 0.0000
Al: 0.5000 0.5000 0.5000
Al: 0.7500 0.2500 0.7500
Al: 0.7500 0.7500 0.2500
Te: 0.2500 0.2500 0.7500
Te: 0.2500 0.7500 0.2500
Te: 0.7500 0.2500 0.2500
Te: 0.7500 0.7500 0.7500

Total magnetic moment in μB per formula unit: 0.01
Symmetry: F-43m
Final energy in eV/atom: -4.986
Mass density in g cm⁻³: 7.12

---

Density functional theory data (PBE) for a relaxed Hf2AlTe2 crystal.

Unit cell a=4.2432 b=4.2432 c=15.1370 alpha=90.00 beta=90.00 gamma=90.00
Atoms (fractional coordinates):
Hf: 0.0000 0.5000 0.2500
Hf: 0.0000 0.5000 0.7500
Hf: 0.5000 0.0000 0.2500
Hf: 0.5000 0.0000 0.7500
Al: 0.0000 0.0000 0.0000
Al: 0.5000 0.5000 0.5000
Te: 0.0000 0.0000 0.3844
Te: 0.0000 0.0000 0.6156
Te: 0.5000 0.5000 0.1156
Te: 0.5000 0.5000 0.8844

Total magnetic moment in μB per formula unit: 0.03
Symmetry: I4/mmm
Polymorph energy (0 for the lowest one) in eV/atom: 0.000
Mass density in g cm⁻³: 7.79

---

Density functional theory data (PBE) for a relaxed HfThAl crystal.

Unit cell a=6.8536 b=6.8536 c=6.8536 alpha=90.00 beta=90.00 gamma=90.00
Atoms (fractional coordinates):
Hf: 0.0000 0.0000 0.0000
Hf: 0.0000 0.5000 0.5000
Hf: 0.5000 0.0000 0.5000
Hf: 0.5000 0.5000 0.0000
Th: 0.0000 0.0000 0.5000
Th: 0.0000 0.5000 0.0000
Th: 0.5000 0.0000 0.0000
Th: 0.5000 0.5000 0.5000
Al: 0.2500 0.2500 0.2500
Al: 0.2500 0.7500 0.7500
Al: 0.7500 0.2500 0.7500
Al: 0.7500 0.7500 0.2500

Total magnetic moment in μB per formula unit: 0.00
Symmetry: F-43m
Polymorph energy (0 for the lowest one) in eV/atom: 0.000
Mass density in g cm⁻³: 9.03

---

Density functional theory data (PBE) for a relaxed TmHfAl crystal.

Unit cell a=6.8804 b=6.8804 c=6.8804 alpha=90.00 beta=90.00 gamma=90.00
Atoms (fractional coordinates):
Tm: 0.0000 0.0000 0.0000
Tm: 0.0000 0.5000 0.5000
Tm: 0.5000 0.0000 0.5000
Tm: 0.5000 0.5000 0.0000
Hf: 0.2500 0.2500 0.7500
Hf: 0.2500 0.7500 0.2500
Hf: 0.7500 0.2500 0.2500
Hf: 0.7500 0.7500 0.7500
Al: 0.0000 0.0000 0.5000
Al: 0.0000 0.5000 0.0000
Al: 0.5000 0.0000 0.0000
Al: 0.5000 0.5000 0.5000

Total magnetic moment in μB per formula unit: 0.01
Symmetry: F-43m
Polymorph energy (0 for the lowest one) in eV/atom: 0.000
Mass density in g cm⁻³: 7.64